[1]
20
Lattice="-0.1789 -6.7435 1.5986 6.8183 -0.2547 -0.3115 0.5099 2.2045 9.3569" Properties=species:S:1:pos:R:3 comment="Ce3AuN (PBE, optimized geometry)" space_group="Pnma, No. 62" e_form_raw_kcal_per_mol_atoms=-18.54 pbc="T T T"
Ce 5.4348 -3.0815 10.0033
Ce 1.7145 -1.7122 0.6407
Ce 1.9354 -0.7571 4.6943
Ce 1.7688 -4.1260 5.4971
Ce 1.5480 -5.0810 1.4435
Ce 5.3805 -0.6677 5.1469
Ce 5.2139 -4.0366 5.9497
Ce 5.6013 0.2874 9.2005
Ce 3.3006 1.5180 6.8906
Ce 6.3668 -3.0306 2.8431
Ce 0.7825 -1.7631 7.8008
Ce 3.8487 -6.3116 3.7534
N 0.1655 -2.2695 5.4777
N -0.0894 -3.3718 0.7993
N 3.4092 -0.1273 -0.1558
N 3.6641 0.9749 4.5227
Au 6.9498 -5.3108 8.3006
Au 0.1995 0.5171 2.3433
Au 3.3735 -2.9766 2.9935
Au 3.7758 -1.8171 7.6504

[2]
20
Lattice="-3.9229 4.9457 0.1505 -3.0980 -2.2487 -6.8563 -7.0895 -5.5337 5.0180" Properties=species:S:1:pos:R:3 comment="Ce6Au3N (PBE, optimized geometry)" space_group="P2_1/c, No. 14" e_form_raw_kcal_per_mol_atoms=-13.50 pbc="T T T"
Au -3.5448 -2.7668 2.5090
Au -10.2299 -0.5867 1.3123
Au -3.8607 0.3338 0.6401
Au -10.2497 -3.1705 -2.3278
Au -3.8805 -2.2500 -3.0001
Au -3.5104 1.3485 -3.3529
Ce -9.7962 -2.2934 3.8665
Ce -6.1903 -3.7012 3.6105
Ce -7.0977 -0.5317 1.4328
Ce -1.7984 -0.3879 -1.6086
Ce -4.9356 -2.4676 -0.1456
Ce -8.2293 -3.4504 -0.0472
Ce -4.3142 -0.5433 -5.5543
Ce -9.1747 -0.3691 -1.5421
Ce -12.3119 -2.4488 -0.0792
Ce -7.0127 -2.3050 -3.1205
Ce -5.8811 0.6137 -1.6406
Ce -7.9200 0.8645 -5.2983
N 0.0000 0.0000 0.0000
N -7.0552 -1.4183 -0.8439

[3]
5
Lattice="4.8412 0.0000 0.0000 0.0000 4.8412 0.0000 0.0000 0.0000 4.8412" Properties=species:S:1:pos:R:3 comment="Ce3AuN (PBE, optimized geometry)" space_group="Pm-3m, No. 221" e_form_raw_kcal_per_mol_atoms=-18.03 pbc="T T T"
N 0.0000 0.0000 0.0000
Ce 2.4206 0.0000 0.0000
Ce 0.0000 0.0000 2.4206
Ce 0.0000 2.4206 0.0000
Au 2.4206 2.4206 2.4206

[4]
10
Lattice="-1.1026 -3.1406 -1.2210 6.8141 -0.6676 -4.4364 5.5803 -3.7544 4.6176" Properties=species:S:1:pos:R:3 comment="Ce3AuN (PBE, optimized geometry)" space_group="Cmmm, No. 65" e_form_raw_kcal_per_mol_atoms=-17.60 pbc="T T T"
Ce 6.6179 -1.9735 -4.6396
Ce 4.7917 -3.0855 -0.1302
Ce 6.6352 -4.7778 -2.5896
Ce 3.6718 -3.4216 -3.4017
Ce 2.9502 -5.2265 1.8928
Ce 6.1227 -6.0595 1.1703
Au 8.4946 -4.4064 -0.0764
Au 1.7464 -3.7660 -0.7776
N 5.0879 -4.0728 2.1419
N 5.7045 -2.5292 -2.3854

[5]
18
Lattice="-3.0115 4.4078 -3.3202 -0.8753 -4.1168 -4.6714 -9.2550 -2.9829 4.3630" Properties=species:S:1:pos:R:3 comment="Ce6Au2N (PBE, optimized geometry)" space_group="P2_1/c, No. 14" e_form_raw_kcal_per_mol_atoms=-12.57 polymorph_energy_mev_per_atom=0 pbc="T T T"
Ce -5.7740 -1.0887 0.0018
Ce -4.0044 -0.5031 -3.0402
Ce -11.9230 -0.4505 0.4390
Ce -7.3678 -1.6032 -3.6304
Ce -7.5634 -6.2547 -1.5319
Ce -7.2057 0.5502 -1.8045
Ce -12.1839 -3.0686 -1.9142
Ce -5.5784 3.5628 -2.0967
Ce -1.2188 -2.2414 -4.0676
Ce -9.1374 -2.1888 -0.5884
Ce -0.9579 0.3767 -1.7144
Ce -5.9361 -3.2422 -1.8241
Au -4.6922 -2.6583 -5.2359
Au -10.3889 0.1070 -2.3849
Au -8.4496 -0.0336 1.6073
Au -2.7529 -2.7990 -1.2437
N -1.9434 0.1455 -3.9958
N -4.6275 -1.4915 2.1815

[6]
12
Lattice="3.4466 0.0000 0.0000 0.0000 6.2040 0.0000 0.0000 0.0000 11.2003" Properties=species:S:1:pos:R:3 comment="Ce3AuN2 (PBE, optimized geometry)" space_group="Pmc2_1, No. 26" e_form_raw_kcal_per_mol_atoms=-24.34 pbc="T T T"
N 0.0000 3.1809 8.4483
N 1.7233 0.0621 5.6053
N 0.0000 0.0789 2.7520
N 1.7233 3.1641 5.5950
Ce 1.7233 3.9086 9.8960
Ce 0.0000 4.6478 6.5836
Ce 0.0000 1.5458 4.6166
Ce 1.7233 0.8066 1.3042
Ce 1.7233 4.7088 3.6378
Ce 1.7233 1.6068 7.5625
Au 0.0000 3.3525 1.3532
Au 0.0000 0.2505 9.8471